# Mn13Cr3O32 PBE+U optimized geometry
# Mass density = 4.07 g/cm³
# Electronic total energy = -7.113 eV/atom
data_Mn13Cr3O32
_symmetry_space_group_name_H-M 'C 1 2/m 1'
_symmetry_Int_Tables_number 12
_symmetry_space_group_name_Hall '-C 2y'
_cell_length_a 11.6902
_cell_length_b 11.6885
_cell_length_c 10.1114
_cell_angle_alpha 90.00
_cell_angle_beta 125.23
_cell_angle_gamma 90.00
loop_
_atom_site_label
_atom_site_type_symbol
_atom_site_fract_x
_atom_site_fract_y
_atom_site_fract_z
Mn1 Mn 0.0000 0.0000 0.0000
Mn2 Mn 0.0000 0.1247 0.2495
Mn3 Mn 0.9996 0.3750 0.2490
Mn4 Mn 0.2498 0.0000 0.9998
Mn5 Mn 0.2500 0.2500 0.5000
Cr1 Cr 0.0000 0.2503 0.5000
Cr2 Cr 0.0000 0.5000 0.0000
O1 O 0.1025 0.0000 0.2347
O2 O 0.1016 0.2502 0.7358
O3 O 0.1031 0.5000 0.2329
O4 O 0.1169 0.0000 0.7651
O5 O 0.1173 0.1098 0.9852
O6 O 0.1172 0.1406 0.4838
O7 O 0.1174 0.2500 0.2652
O8 O 0.1171 0.3597 0.4833
O9 O 0.1168 0.5000 0.7655
O10 O 0.1187 0.3900 0.9860